Ni2HgH2 | GGA-PBE | optimized geometry

Properties
DFT total energy (eV per atom): -3.67
Symmetry: I4/mmm, No. 139
Size of the total moment (μB/f.u.): 0.00
DOS at the Fermi energy (states/eV per cell): 1.689

abc: 3.0974 3.0974 5.4866
angles: 73.60 73.60 90.00
Fractional positions:
Hg: 0.0000 0.0000 0.0000
H: 0.2500 0.7500 0.5000
H: 0.7500 0.2500 0.5000
Ni: 0.6746 0.6746 0.6509
Ni: 0.3254 0.3254 0.3491